# PBE InSbCl2, relaxed
data_InSbCl2
_chemical_formula_sum 'In4 Sb4 Cl8'
_cell_length_a 7.491
_cell_length_b 7.491
_cell_length_c 7.491
_cell_angle_alpha 90.00
_cell_angle_beta 90.00
_cell_angle_gamma 90.00
_symmetry_space_group_name_H-M 'F m -3 m'
_symmetry_Int_Tables_number 225
_symmetry_space_group_name_Hall '-F 4 2 3'
loop_
_atom_site_label
_atom_site_fract_x
_atom_site_fract_y
_atom_site_fract_z
In1 0.000 0.000 0.000
Sb1 0.000 0.000 0.500
Cl1 0.250 0.250 0.250
# Spin magnetization = 4.97 μB/cell
# Calculated density = 4.9 g cm⁻³
# Formation energy without anion corrections = -0.10 eV per atom
# Energy above the lowest structure with this stoichiometry = 397 meV per atom

---

# PBE InSb2Cl, relaxed
data_InSb2Cl
_chemical_formula_sum 'In3 Sb6 Cl3'
_cell_length_a 3.4782
_cell_length_b 3.4782
_cell_length_c 29.6298
_cell_angle_alpha 90.00
_cell_angle_beta 90.00
_cell_angle_gamma 120.00
_symmetry_space_group_name_H-M 'R -3 m'
_symmetry_Int_Tables_number 166
_symmetry_space_group_name_Hall '-R 3 2"'
loop_
_atom_site_label
_atom_site_fract_x
_atom_site_fract_y
_atom_site_fract_z
In1 0.0000 0.0000 0.0000
Sb1 0.0000 0.0000 0.2484
Cl1 0.0000 0.0000 0.5000
# Spin magnetization = 0.00 μB/cell
# Calculated density = 6.3 g cm⁻³
# Formation energy without anion corrections = 0.01 eV per atom

---

Repeat the second record exactly.
# PBE InSb2Cl, relaxed
data_InSb2Cl
_chemical_formula_sum 'In3 Sb6 Cl3'
_cell_length_a 3.4782
_cell_length_b 3.4782
_cell_length_c 29.6298
_cell_angle_alpha 90.00
_cell_angle_beta 90.00
_cell_angle_gamma 120.00
_symmetry_space_group_name_H-M 'R -3 m'
_symmetry_Int_Tables_number 166
_symmetry_space_group_name_Hall '-R 3 2"'
loop_
_atom_site_label
_atom_site_fract_x
_atom_site_fract_y
_atom_site_fract_z
In1 0.0000 0.0000 0.0000
Sb1 0.0000 0.0000 0.2484
Cl1 0.0000 0.0000 0.5000
# Spin magnetization = 0.00 μB/cell
# Calculated density = 6.3 g cm⁻³
# Formation energy without anion corrections = 0.01 eV per atom